(1)
! SCAN CeP2Pd2, PBEsol geometry; values from VASP
! - total DFT energy (no corrections) (eV per formula unit) = -136.031
! - total moment (μB per cell) = 0.67
! - space group = No. 139
! - DFT formation energy (eV/atom) = -1.02
&SYSTEM
  ibrav = 0, nat = 5, ntyp = 3
/
ATOMIC_SPECIES
P 30.97 P.upf
Pd 106.42 Pd.upf
Ce 140.12 Ce.upf
CELL_PARAMETERS angstrom
-3.3760 -0.8959 -2.0213
0.0525 -3.7208 1.5615
-1.0836 3.8982 4.1104
ATOMIC_POSITIONS angstrom
P -2.1375 1.2378 3.0214
P -2.2696 -1.9564 0.6293
Pd -3.0606 0.3469 0.9296
Pd -1.3464 -1.0655 2.7210
Ce 0.0000 0.0000 0.0000



(2)
! SCAN Li3Co4NiO8, PBEsol geometry; values from VASP
! - total DFT energy (no corrections) (eV per formula unit) = -168.899
! - total moment (μB per cell) = 5.00
! - space group = No. 12
! - uncorrected formation energy (eV per formula unit) = -26.5
&SYSTEM
  ibrav = 0, nat = 16, ntyp = 4
/
ATOMIC_SPECIES
O 16.00 O.upf
Li 6.94 Li.upf
Co 58.93 Co.upf
Ni 58.69 Ni.upf
CELL_PARAMETERS angstrom
5.6929 0.0000 0.0000
-2.8465 4.9488 0.0372
0.0000 -3.1686 4.5955
ATOMIC_POSITIONS angstrom
O 4.3024 -2.2735 3.5541
O 2.8465 0.1025 3.6290
O 2.8465 1.6987 1.0456
O 0.0000 1.6777 1.0037
O 0.0000 0.0815 3.5872
O -1.4559 4.0536 1.0786
O 1.4559 4.0536 1.0786
O 1.3905 -2.2735 3.5541
Li -1.4232 0.8901 2.3164
Li 0.0000 -1.5843 2.2978
Li 1.4232 0.8901 2.3164
Co 2.8465 -1.5843 2.2978
Co -1.4232 2.4744 0.0186
Co 0.0000 0.0000 0.0000
Co 1.4232 2.4744 0.0186
Ni 2.8465 0.0000 0.0000



(3)
! SCAN TiZn2CdOs, PBEsol geometry; values from VASP
! - total DFT energy (no corrections) (eV per formula unit) = -139.847
! - total moment (μB per cell) = 0.00
! - space group = No. 123
! - DFT formation energy (eV/atom) = 1.10
&SYSTEM
  ibrav = 0, nat = 5, ntyp = 4
/
ATOMIC_SPECIES
Ti 47.87 Ti.upf
Cd 112.41 Cd.upf
Zn 65.41 Zn.upf
Os 190.23 Os.upf
CELL_PARAMETERS angstrom
-1.2106 3.5002 -2.5194
-0.3712 -2.8750 -3.8158
-4.5988 -0.8225 1.0671
ATOMIC_POSITIONS angstrom
Ti 0.0000 0.0000 0.0000
Cd -3.0903 -0.0986 -2.6341
Zn -2.2994 -0.4112 0.5335
Zn -0.1856 -1.4375 -1.9079
Os -0.6053 1.7501 -1.2597



(4)
! SCAN NaLi2Tc, PBEsol geometry; values from VASP
! - total DFT energy (no corrections) (eV per formula unit) = -40.944
! - total moment (μB per cell) = 2.84
! - space group = No. 225
! - DFT formation energy (eV/atom) = 0.78
&SYSTEM
  ibrav = 0, nat = 4, ntyp = 3
/
ATOMIC_SPECIES
Na 22.99 Na.upf
Li 6.94 Li.upf
Tc 98.00 Tc.upf
CELL_PARAMETERS angstrom
-3.2703 -0.1405 -3.2704
-1.8466 -4.0535 -1.2526
-4.3709 -1.0021 1.1405
ATOMIC_POSITIONS angstrom
Na 0.0000 0.0000 0.0000
Li -2.3719 -1.2990 -0.8456
Li -7.1158 -3.8971 -2.5368
Tc -4.7439 -2.5981 -1.6912



(5)
! SCAN Al2CuCl8, PBEsol geometry; values from VASP
! - total DFT energy (no corrections) (eV per formula unit) = -110.061
! - total moment (μB per cell) = 1.95
! - space group = No. 14
! - uncorrected formation energy (eV per formula unit) = -15.5
&SYSTEM
  ibrav = 0, nat = 22, ntyp = 3
/
ATOMIC_SPECIES
Al 26.98 Al.upf
Cl 35.45 Cl.upf
Cu 63.55 Cu.upf
CELL_PARAMETERS angstrom
6.7945 0.0000 0.0308
0.0000 7.2697 0.0000
-1.3294 0.0000 12.1581
ATOMIC_POSITIONS angstrom
Al 5.0774 5.5589 3.8551
Al 4.4127 5.3456 9.9342
Al 1.0524 1.9240 2.2547
Al 0.3877 1.7108 8.3337
Cl 2.2642 3.5572 1.7647
Cl 1.1572 3.5880 7.4572
Cl 3.2009 3.7124 10.4242
Cl 5.3045 1.8123 7.2043
Cl 0.1606 5.4573 4.9846
Cl 5.5041 5.3177 1.7936
Cl 3.6433 7.2229 10.8107
Cl 4.3080 3.6816 4.7316
Cl 1.8218 0.0468 1.3782
Cl 5.9692 1.8225 1.1253
Cl 3.8656 7.1921 4.3451
Cl 0.6257 1.6828 4.3163
Cl -0.0390 1.9520 10.3953
Cl 4.8394 5.5868 7.8726
Cl -0.5041 5.4472 11.0636
Cl 1.5995 0.0776 7.8437
Cu -0.6647 3.6348 6.0790
Cu 0.0000 0.0000 0.0000



(6)
! SCAN ScTa2Rh, PBEsol geometry; values from VASP
! - E above lowest polymorph (meV per atom) = 112
! - total DFT energy (no corrections) (eV per formula unit) = -181.980
! - total moment (μB per cell) = 0.00
! - space group = No. 12
! - DFT formation energy (eV/atom) = -0.20
&SYSTEM
  ibrav = 0, nat = 4, ntyp = 3
/
ATOMIC_SPECIES
Ta 180.95 Ta.upf
Sc 44.96 Sc.upf
Rh 102.91 Rh.upf
CELL_PARAMETERS angstrom
2.8592 0.0063 0.0000
-1.1420 5.0438 0.0000
-0.8586 -2.5250 4.6714
ATOMIC_POSITIONS angstrom
Ta -0.4293 -1.2625 2.3357
Ta 0.4293 1.2625 2.3357
Sc -0.5710 2.5219 0.0000
Rh 1.4296 0.0031 0.0000



(7)
! SCAN Zn2IrRh, PBEsol geometry; values from VASP
! - total DFT energy (no corrections) (eV per formula unit) = -132.889
! - total moment (μB per cell) = 0.00
! - space group = No. 12
! - DFT formation energy (eV/atom) = -0.25
&SYSTEM
  ibrav = 0, nat = 4, ntyp = 3
/
ATOMIC_SPECIES
Ir 192.22 Ir.upf
Zn 65.41 Zn.upf
Rh 102.91 Rh.upf
CELL_PARAMETERS angstrom
2.7481 -0.0008 0.0000
-1.3752 4.2041 0.0042
0.0002 -0.8969 4.6825
ATOMIC_POSITIONS angstrom
Ir 2.7482 -0.4492 2.3412
Zn 1.3734 1.4294 3.5220
Zn -0.0005 1.8770 1.1646
Rh 1.3740 -0.0004 0.0000



(8)
! SCAN MoRu3W, PBEsol geometry; values from VASP
! - total DFT energy (no corrections) (eV per formula unit) = -199.815
! - total moment (μB per cell) = 3.47
! - space group = No. 221
! - DFT formation energy (eV/atom) = 1.85
&SYSTEM
  ibrav = 0, nat = 5, ntyp = 3
/
ATOMIC_SPECIES
Ru 101.07 Ru.upf
W 183.84 W.upf
Mo 95.94 Mo.upf
CELL_PARAMETERS angstrom
-2.7261 1.6146 -3.2725
3.1420 -1.0390 -3.1300
-1.8559 -4.1306 -0.4919
ATOMIC_POSITIONS angstrom
Ru -0.9280 -2.0653 -0.2460
Ru 1.5710 -0.5195 -1.5650
Ru -1.3631 0.8073 -1.6363
W 0.0000 0.0000 0.0000
Mo -0.7200 -1.7775 -3.4472



(9)
! SCAN Bi2Os2O7, PBEsol geometry; values from VASP
! - total DFT energy (no corrections) (eV per formula unit) = -355.899
! - total moment (μB per cell) = 0.00
! - space group = No. 227
! - uncorrected formation energy (eV per formula unit) = -11.4
&SYSTEM
  ibrav = 0, nat = 22, ntyp = 3
/
ATOMIC_SPECIES
Os 190.23 Os.upf
O 16.00 O.upf
Bi 208.98 Bi.upf
CELL_PARAMETERS angstrom
-3.5971 -5.2180 3.6362
2.6964 -2.6040 6.2719
-3.3013 1.5689 6.3268
ATOMIC_POSITIONS angstrom
Os 0.8230 -2.0836 5.1653
Os -0.5252 -0.7816 2.0294
Os -2.1759 0.0028 5.1927
Os -2.3238 -3.3906 3.8475
O -2.8155 -0.3313 7.0514
O -2.9916 -4.3716 5.4497
O -4.9569 -3.4376 9.2161
O -2.9919 -1.7747 4.8056
O -1.6559 -2.4096 2.2452
O -1.5362 0.3369 3.3341
O -2.1010 -3.1265 8.1174
O -0.5647 -3.4634 4.7834
O -0.4450 -0.7169 5.8722
O -1.3864 -5.9218 9.1834
O -1.2103 -1.8815 10.7852
O 0.7550 -2.8154 7.0187
O 0.8909 -1.3518 3.3119
O -3.1514 -4.6898 12.1761
Bi -2.6262 -3.9082 10.1468
Bi -3.9744 -2.6062 7.0108
Bi -0.8277 -1.2992 8.3287
Bi -0.9756 -4.6926 6.9834



(10)
! SCAN CaBe2Si, PBEsol geometry; values from VASP
! - total DFT energy (no corrections) (eV per formula unit) = -28.239
! - total moment (μB per cell) = 0.00
! - space group = No. 141
! - uncorrected formation energy (eV per formula unit) = 0.1
&SYSTEM
  ibrav = 0, nat = 8, ntyp = 3
/
ATOMIC_SPECIES
Ca 40.08 Ca.upf
Be 9.01 Be.upf
Si 28.09 Si.upf
CELL_PARAMETERS angstrom
-0.3460 -0.7011 4.2717
4.3094 0.3498 0.4065
-2.6850 7.5076 -1.1927
ATOMIC_POSITIONS angstrom
Ca 0.0000 0.0000 0.0000
Ca 1.8030 3.8409 0.7764
Be -0.6140 5.3237 1.9277
Be 0.7285 1.5699 2.5241
Be -0.4410 5.6742 -0.2081
Be 2.8832 1.7448 2.7273
Si 1.9817 -0.1756 2.3391
Si -0.5247 3.3154 2.7090



(11)
! SCAN Ta11W5, PBEsol geometry; values from VASP
! - total DFT energy (no corrections) (eV per formula unit) = -1081.633
! - total moment (μB per cell) = 0.00
! - space group = No. 6
! - DFT formation energy (eV/atom) = -0.05
&SYSTEM
  ibrav = 0, nat = 16, ntyp = 2
/
ATOMIC_SPECIES
W 183.84 W.upf
Ta 180.95 Ta.upf
CELL_PARAMETERS angstrom
6.4493 0.0000 0.0000
0.0000 6.4662 -0.0005
0.0000 -0.0143 6.4761
ATOMIC_POSITIONS angstrom
W 4.8470 4.8295 4.8474
W 1.6023 4.8295 4.8474
W 3.2247 3.2366 6.4618
W 0.0000 6.4432 3.2518
W 0.0000 3.2504 3.2567
Ta 0.0000 3.2444 6.4489
Ta 0.0000 6.4245 6.4441
Ta 4.8495 1.6190 4.8422
Ta 3.2247 6.4325 3.2688
Ta 4.8490 4.8316 1.6316
Ta 3.2247 6.4259 6.4523
Ta 1.6008 1.6242 1.6294
Ta 3.2247 3.2530 3.2694
Ta 4.8485 1.6242 1.6294
Ta 1.6003 4.8316 1.6316
Ta 1.5998 1.6190 4.8422



(12)
! SCAN MnAgRh2, PBEsol geometry; values from VASP
! - E above lowest polymorph (meV per atom) = 24
! - total DFT energy (no corrections) (eV per formula unit) = -117.304
! - total moment (μB per cell) = 3.04
! - space group = No. 123
! - DFT formation energy (eV/atom) = -0.03
&SYSTEM
  ibrav = 0, nat = 4, ntyp = 3
/
ATOMIC_SPECIES
Rh 102.91 Rh.upf
Ag 107.87 Ag.upf
Mn 54.94 Mn.upf
CELL_PARAMETERS angstrom
2.6704 0.0000 0.0000
0.0000 2.6704 0.0000
0.0000 0.0000 7.5507
ATOMIC_POSITIONS angstrom
Rh 0.0000 0.0000 2.1245
Rh 0.0000 0.0000 5.4262
Ag 1.3352 1.3352 0.0000
Mn 1.3352 1.3352 3.7754